# 1
A relaxed structure of Pr3Ga3Au8. Source: Alexandria, functional PBE.

Properties
ΔE_f: -0.59 eV/atom

a b c (Å): 4.6286 9.9568 13.0640
angles (deg): 90.00 90.00 90.00
Space group Immm (No. 71)
Inequivalent atoms, fractional coordinates:
Pr: 0.0000 0.0000 0.0000
Pr: 0.0000 0.0000 0.2996
Ga: 0.0000 0.1955 0.5000
Ga: 0.0000 0.5000 0.0000
Au: 0.0000 0.2936 0.1269
Au: 0.0000 0.3626 0.3437

=====

# 2
A relaxed structure of LiPm3In4. Source: Alexandria, functional PBE.

Properties
ΔE_f: -0.45 eV/atom

a b c (Å): 3.5701 3.5701 16.3955
angles (deg): 90.00 90.00 90.00
Space group P4/mmm (No. 123)
Inequivalent atoms, fractional coordinates:
Li: 0.0000 0.0000 0.0000
Pm: 0.0000 0.0000 0.2305
Pm: 0.0000 0.0000 0.5000
In: 0.5000 0.5000 0.0942
In: 0.5000 0.5000 0.3643

=====

# 3
A relaxed structure of CeHo2Au. Source: Alexandria, functional PBE.

Properties
ΔE_f: -0.37 eV/atom

a b c (Å): 3.5924 3.5924 8.2796
angles (deg): 90.00 90.00 90.00
Space group P4/mmm (No. 123)
Inequivalent atoms, fractional coordinates:
Ce: 0.0000 0.0000 0.0000
Ho: 0.5000 0.5000 0.2905
Au: 0.0000 0.0000 0.5000

=====

# 4
A relaxed structure of U2Si4Tc3. Source: Alexandria, functional PBE.

Properties
E_form (uncorrected): -0.4886 eV/atom

a b c (Å): 6.7647 6.6611 6.9223
angles (deg): 90.00 110.86 90.00
Space group P2_1/c (No. 14)
Inequivalent atoms, fractional coordinates:
U: 0.1748 0.1473 0.0444
Si: 0.1064 0.5576 0.8837
Si: 0.4939 0.6513 0.6401
Tc: 0.2419 0.6397 0.2616
Tc: 0.5000 0.0000 0.5000

=====

# 5
A relaxed structure of LaSeIO2. Source: Alexandria, functional PBE.

Properties
E_form (uncorrected): -1.0695 eV/atom

a b c (Å): 4.3054 4.3054 7.7809
angles (deg): 90.00 90.00 90.00
Space group P4/mmm (No. 123)
Inequivalent atoms, fractional coordinates:
La: 0.0000 0.0000 0.0000
Se: 0.5000 0.5000 0.5000
I: 0.0000 0.0000 0.5000
O: 0.0000 0.5000 0.0000

=====

# 6
A relaxed structure of Er8TcNi2. Source: Alexandria, functional PBE.

Properties
ΔE_f: -0.19 eV/atom

a b c (Å): 16.8728 4.9585 6.6499
angles (deg): 90.00 107.40 90.00
Space group C2/m (No. 12)
Inequivalent atoms, fractional coordinates:
Er: 0.0345 0.0000 0.2954
Er: 0.0933 0.5000 0.9492
Er: 0.1710 0.5000 0.4738
Er: 0.1987 0.0000 0.8188
Tc: 0.0000 0.5000 0.5000
Ni: 0.1872 0.0000 0.2056

=====

Number 1: magnetization 0.000 μB/cell. Number 2: magnetization 0.000 μB/cell. Number 3: magnetization 0.966 μB/cell. Number 4: magnetization 7.568 μB/cell. Number 5: magnetization 0.001 μB/cell. Number 6: magnetization 0.000 μB/cell.